(1)
# NpVFe

NpVFe after structural relaxation (GGA-PBE, Alexandria via LeMat-Bulk).

Geometry as POSCAR:
```
NpVFe
1.0
-1.3843 1.3843 5.5900
1.3843 -1.3843 5.5900
1.3843 1.3843 -5.5900
Np V Fe
1 1 1
direct
0.0000 0.0000 0.0000
0.6920 0.6920 0.0000
0.3193 0.3193 0.0000
```

Results
As for the space-group type: I4mm, No. 107. Its distance to the lowest polymorph of the same formula is 62.9 meV per atom.

***

(2)
# NpV2Fe

NpV2Fe after structural relaxation (GGA-PBE, Alexandria via LeMat-Bulk).

Geometry as POSCAR:
```
NpV2Fe
1.0
0.0000 3.0381 3.0381
3.0381 0.0000 3.0381
3.0381 3.0381 0.0000
Np V Fe
1 2 1
direct
0.0000 0.0000 0.0000
0.2500 0.2500 0.2500
0.7500 0.7500 0.7500
0.5000 0.5000 0.5000
```

Results
As for the space-group type: Fm-3m, No. 225. Its distance to the lowest polymorph of the same formula is 233.5 meV per atom.

***

(3)
# NpFe4W

NpFe4W after structural relaxation (GGA-PBE, Alexandria via LeMat-Bulk).

Geometry as POSCAR:
```
NpFe4W
1.0
0.0000 3.4394 3.4394
3.4394 0.0000 3.4394
3.4394 3.4394 0.0000
Np Fe W
1 4 1
direct
0.0000 0.0000 0.0000
0.1267 0.6244 0.6244
0.6244 0.1267 0.6244
0.6244 0.6244 0.1267
0.6244 0.6244 0.6244
0.2500 0.2500 0.2500
```

Results
As for the space-group type: F-43m, No. 216.

***

(4)
# NpFeW

NpFeW after structural relaxation (GGA-PBE, Alexandria via LeMat-Bulk).

Geometry as POSCAR:
```
NpFeW
1.0
5.8167 -1.6691 0.0000
5.8167 1.6691 0.0000
-2.6875 0.0000 5.0051
Np Fe W
2 2 2
direct
0.0259 0.0259 0.2365
0.9741 0.9741 0.7635
0.3763 0.3763 0.4365
0.6237 0.6237 0.5635
0.2942 0.2942 0.8742
0.7058 0.7058 0.1258
```

Results
As for the space-group type: C2/m, No. 12.

***

(5)
# YNpFe2

YNpFe2 after structural relaxation (GGA-PBE, Alexandria via LeMat-Bulk).

Geometry as POSCAR:
```
YNpFe2
1.0
7.6515 0.0000 0.0000
0.0000 4.4702 0.0000
0.0000 0.0000 8.6518
Y Np Fe
4 4 8
direct
0.0907 0.2500 0.1418
0.4093 0.7500 0.6418
0.5907 0.2500 0.3582
0.9093 0.7500 0.8582
0.0199 0.7500 0.4199
0.4801 0.2500 0.9199
0.5199 0.7500 0.0801
0.9801 0.2500 0.5801
0.2290 0.2500 0.8084
0.2371 0.2500 0.4726
0.2629 0.7500 0.9726
0.2710 0.7500 0.3084
0.7290 0.2500 0.6916
0.7371 0.2500 0.0274
0.7629 0.7500 0.5274
0.7710 0.7500 0.1916
```

Results
As for the space-group type: Pnma, No. 62.

***

(6)
# NpZn8Fe4

NpZn8Fe4 after structural relaxation (GGA-PBE, Alexandria via LeMat-Bulk).

Geometry as POSCAR:
```
NpZn8Fe4
1.0
-4.3923 4.3923 2.4769
4.3923 -4.3923 2.4769
4.3923 4.3923 -2.4769
Np Zn Fe
1 8 4
direct
0.0000 0.0000 0.0000
0.0000 0.3406 0.3406
0.0000 0.6594 0.6594
0.2745 0.5000 0.7745
0.3406 0.0000 0.3406
0.5000 0.2745 0.7745
0.5000 0.7255 0.2255
0.6594 0.0000 0.6594
0.7255 0.5000 0.2255
0.0000 0.0000 0.5000
0.0000 0.5000 0.0000
0.5000 0.0000 0.0000
0.5000 0.5000 0.5000
```

Results
As for the space-group type: I4/mmm, No. 139.

***

How do the records compare in magnetization? In the order shown, they have 0.01, 2.70, 1.55, 1.33, 1.49, 11.33 μB/cell.
How do the records compare in uncorrected energy? In the order shown, they have -30.0, -38.3, -58.6, -66.3, -144.5, -56.0 eV per cell.